Material: CuHgS2
Method: DFT, PBE
State: relaxed

Cell: 6.8254 3.8537 7.4336 Å, 90.00 114.78 90.00°
Closest atoms and distances in Å follow each position.
Space group P2_1/m (No. 11)
Unique sites:
Cu  0.0673  0.2500  0.2283 [2 per cell]  3 S 2.23-2.26
Hg  0.4043  0.2500  0.6014 [2 per cell]  1 Cu 2.76, 3 S 2.84-3.04, 2 Hg 3.06
S  0.1099  0.2500  0.7812 [2 per cell]  1 S 2.09, 2 Cu 2.26
S  0.2985  0.2500  0.0872 [2 per cell]  1 S 2.09, 1 Cu 2.23

DFT total energy in eV/cell: -25.22
DOS at the Fermi energy in states/eV per cell: 2.4
ρ in g/cm³: 6.14


Material: CuHgS2
Method: DFT, PBE
State: relaxed

Cell: 3.8934 3.8943 6.9894 Å, 73.99 73.90 60.05°
Closest atoms and distances in Å follow each position.
Space group P1 (No. 1)
Unique sites:
Cu  0.0000  0.0000  0.0000 [1 per cell]  4 S 2.27-2.33
Hg  0.5097  0.5077  0.4717 [1 per cell]  4 S 2.51-2.57
S  0.1138  0.1138  0.6580 [1 per cell]  1 Cu 2.27
S  0.6354  0.6361  0.0930 [1 per cell]  3 Cu 2.33, 1 Hg 2.51

DFT total energy in eV/cell: -13.01
DOS at the Fermi energy in states/eV per cell: 2.4
ρ in g/cm³: 6.26


Material: Cu2Hg3S4
Method: DFT, PBE
State: relaxed

Cell: 10.5625 11.4988 6.6664 Å, 90.00 98.98 90.00°
Closest atoms and distances in Å follow each position.
Space group C2/c (No. 15)
Unique sites:
Cu  0.2087  0.1249  0.3451 [8 per cell]  4 S 2.34-2.41
Hg  0.0000  0.1293  0.7500 [4 per cell]  4 S 2.56-2.77
Hg  0.1162  0.3504  0.0760 [8 per cell]  2 S 2.44-2.47
S  0.1071  0.2786  0.4965 [8 per cell]  2 Cu 2.34-2.37, 1 Hg 2.47
S  0.1896  0.0597  0.0099 [8 per cell]  2 Cu 2.34-2.41, 2 Hg 2.44-2.56

DFT total energy in eV/cell: -105.02
DOS at the Fermi energy in states/eV per cell: 2.0
ρ in g/cm³: 7.12


Material: CuHgS2
Method: DFT, PBE
State: relaxed

Cell: 7.8174 3.4707 6.6320 Å, 90.00 106.96 90.00°
Closest atoms and distances in Å follow each position.
Space group C2/m (No. 12)
Unique sites:
Cu  0.0000  0.0000  0.0000 [2 per cell]  4 S 2.32
Hg  0.0000  0.5000  0.5000 [2 per cell]  2 S 2.41
S  0.1383  0.5000  0.2195 [4 per cell]  2 Cu 2.32, 1 Hg 2.41

DFT total energy in eV/cell: -25.92
DOS at the Fermi energy in states/eV per cell: 4.6
ρ in g/cm³: 6.33


Material: CuHgS2
Method: DFT, PBE
State: relaxed

Cell: 12.1488 9.6601 12.3816 Å, 90.00 104.00 90.00°
Closest atoms and distances in Å follow each position.
Space group C2/c (No. 15)
Unique sites:
Cu  0.0911  0.2295  0.1414 [8 per cell]  4 S 2.29-2.39
Cu  0.1383  0.0490  0.8460 [8 per cell]  4 S 2.25-2.33
Hg  0.1260  0.4566  0.8573 [8 per cell]  3 S 2.50-2.72
Hg  0.1462  0.2194  0.6135 [8 per cell]  2 S 2.45-2.50
S  0.0000  0.1933  0.7500 [4 per cell]  2 Cu 2.28
S  0.0000  0.3610  0.2500 [4 per cell]  2 Cu 2.32, 2 Hg 2.50
S  0.0399  0.0745  0.4549 [8 per cell]  1 S 2.19, 2 Cu 2.30-2.33
S  0.2122  0.3328  0.0374 [8 per cell]  1 S 2.16, 2 Cu 2.33-2.39
S  0.2280  0.1132  0.2691 [8 per cell]  2 Cu 2.25-2.29, 1 Hg 2.45

DFT total energy in eV/cell: -208.10
DOS at the Fermi energy in states/eV per cell: 0.0
ρ in g/cm³: 6.19


Material: Cu2HgS2
Method: DFT, PBE
State: relaxed

Cell: 7.8009 8.0061 12.3355 Å, 90.00 90.00 90.00°
Closest atoms and distances in Å follow each position.
Space group Fddd (No. 70, origin choice 2)
Unique sites:
Cu  0.1250  0.1250  0.2717 [16 per cell]  4 S 2.37-2.39
Hg  0.1250  0.1250  0.6250 [8 per cell]  2 S 2.44
S  0.1250  0.3203  0.1250 [16 per cell]  4 Cu 2.37-2.39, 1 Hg 2.44

DFT total energy in eV/cell: -136.17
DOS at the Fermi energy in states/eV per cell: 1.5
ρ in g/cm³: 6.76


Material: CuHgS2
Method: DFT, PBE
State: relaxed

Cell: 5.6473 5.6473 10.9487 Å, 90.00 90.00 90.00°
Closest atoms and distances in Å follow each position.
Space group I-42d (No. 122)
Unique sites:
Cu  0.0000  0.0000  0.0000 [4 per cell]  4 S 2.27
Hg  0.0000  0.0000  0.5000 [4 per cell]  4 S 2.59
S  0.2025  0.2500  0.1250 [8 per cell]  2 Cu 2.27

DFT total energy in eV/cell: -52.61
DOS at the Fermi energy in states/eV per cell: 12.1
ρ in g/cm³: 6.24


Material: Cu2HgS3
Method: DFT, PBE
State: relaxed

Cell: 7.7610 23.3090 10.7637 Å, 90.00 90.00 90.00°
Closest atoms and distances in Å follow each position.
Space group Fdd2 (No. 43)
Unique sites:
Cu  0.0000  0.0000  0.0000 [8 per cell]  4 S 2.26-2.27
Cu  0.0000  0.0000  0.4981 [8 per cell]  4 S 2.29
Cu  0.0023  0.1642  0.4938 [16 per cell]  4 S 2.27-2.28
Hg  0.0069  0.3290  0.4930 [16 per cell]  4 S 2.56-2.59
S  0.0011  0.2385  0.3573 [16 per cell]  3 Cu 2.27-2.29
S  0.0231  0.0767  0.8731 [16 per cell]  2 Cu 2.26-2.27
S  0.0251  0.4180  0.8822 [16 per cell]  3 Cu 2.27-2.29

DFT total energy in eV/cell: -346.86
DOS at the Fermi energy in states/eV per cell: 77.8
ρ in g/cm³: 5.78


Material: CuHgS2
Method: DFT, PBE
State: relaxed

Cell: 3.7508 3.7508 5.2489 Å, 90.00 90.00 90.00°
Closest atoms and distances in Å follow each position.
Space group P4/mmm (No. 123)
Unique sites:
Cu  0.0000  0.0000  0.0000 [1 per cell]  6 S 2.62-2.65
Hg  0.5000  0.5000  0.5000 [1 per cell]  6 S 2.62-2.65
S  0.0000  0.0000  0.5000 [1 per cell]  2 Cu 2.62, 4 Hg 2.65
S  0.5000  0.5000  0.0000 [1 per cell]  2 Hg 2.62, 4 Cu 2.65

DFT total energy in eV/cell: -12.11
DOS at the Fermi energy in states/eV per cell: 2.5
ρ in g/cm³: 7.38


Material: CuHgS2
Method: DFT, PBE
State: relaxed

Cell: 3.7741 21.3336 4.2804 Å, 90.00 90.00 90.00°
Closest atoms and distances in Å follow each position.
Space group Cmcm (No. 63)
Unique sites:
Cu  0.0000  0.0667  0.2500 [4 per cell]  4 S 2.22-2.25
Hg  0.0000  0.3233  0.2500 [4 per cell]  4 S 2.86
S  0.0000  0.0385  0.7500 [4 per cell]  3 Cu 2.22-2.24
S  0.0000  0.1720  0.2500 [4 per cell]  1 Cu 2.25

DFT total energy in eV/cell: -49.42
DOS at the Fermi energy in states/eV per cell: 7.2
ρ in g/cm³: 6.33


Material: CuHgS5
Method: DFT, PBE
State: relaxed

Cell: 5.3992 15.2628 10.4570 Å, 90.00 104.03 90.00°
Closest atoms and distances in Å follow each position.
Space group C2/c (No. 15)
Unique sites:
Cu  0.0000  0.0000  0.0000 [4 per cell]  2 S 2.21
Hg  0.0000  0.0701  0.2500 [4 per cell]  2 Cu 2.82
S  0.0000  0.4315  0.2500 [4 per cell]  2 S 2.10
S  0.2253  0.3438  0.1721 [8 per cell]  2 S 2.01-2.10
S  0.2487  0.3850  0.9923 [8 per cell]  1 S 2.01, 1 Cu 2.21

DFT total energy in eV/cell: -96.37
DOS at the Fermi energy in states/eV per cell: 7.7
ρ in g/cm³: 3.37


Material: CuHg2S3
Method: DFT, PBE
State: relaxed

Cell: 4.0058 12.1701 5.7598 Å, 90.00 90.00 90.00°
Closest atoms and distances in Å follow each position.
Space group Imm2 (No. 44)
Unique sites:
Cu  0.0000  0.0000  0.0000 [2 per cell]  4 S 2.29-2.30
Hg  0.0000  0.3366  0.0175 [4 per cell]  4 S 2.57-2.59
S  0.0000  0.1518  0.2339 [4 per cell]  1 Cu 2.29
S  0.0000  0.5000  0.3027 [2 per cell]  2 Cu 2.30

DFT total energy in eV/cell: -35.50
DOS at the Fermi energy in states/eV per cell: 7.5
ρ in g/cm³: 6.63


Material: Cu2HgS2
Method: DFT, PBE
State: relaxed

Cell: 3.7438 3.7438 14.0704 Å, 90.00 90.00 90.00°
Closest atoms and distances in Å follow each position.
Space group I4/mmm (No. 139)
Unique sites:
Cu  0.0000  0.5000  0.2500 [4 per cell]  4 S 2.33
Hg  0.0000  0.0000  0.0000 [2 per cell]  8 S 3.40, 4 Hg 3.74
S  0.0000  0.0000  0.3485 [4 per cell]  4 Cu 2.33

DFT total energy in eV/cell: -33.85
DOS at the Fermi energy in states/eV per cell: 7.7
ρ in g/cm³: 6.60


Material: Cu2HgS
Method: DFT, PBE
State: relaxed

Cell: 6.3719 6.3719 6.3719 Å, 90.00 90.00 90.00°
Closest atoms and distances in Å follow each position.
Space group Fm-3m (No. 225)
Unique sites:
Cu  0.2500  0.2500  0.2500 [8 per cell]  4 S 2.76, 4 Hg 2.76
Hg  0.0000  0.0000  0.0000 [4 per cell]  8 Cu 2.76
S  0.0000  0.0000  0.5000 [4 per cell]  8 Cu 2.76

DFT total energy in eV/cell: -45.67
DOS at the Fermi energy in states/eV per cell: 0.5
ρ in g/cm³: 9.24


Material: CuHgS3
Method: DFT, PBE
State: relaxed

Cell: 4.5765 4.5765 4.5765 Å, 90.00 90.00 90.00°
Closest atoms and distances in Å follow each position.
Space group Pm-3m (No. 221)
Unique sites:
Cu  0.0000  0.0000  0.0000 [1 per cell]  6 S 2.29
Hg  0.5000  0.5000  0.5000 [1 per cell]  12 S 3.24
S  0.0000  0.0000  0.5000 [3 per cell]  2 Cu 2.29

DFT total energy in eV/cell: -13.86
DOS at the Fermi energy in states/eV per cell: 4.9
ρ in g/cm³: 6.24


Material: Cu2HgSbS4
Method: DFT, PBE
State: relaxed

Cell: 5.6632 5.6632 11.2756 Å, 90.00 90.00 90.00°
Closest atoms and distances in Å follow each position.
Space group I-42m (No. 121)
Unique sites:
Cu  0.0000  0.5000  0.2500 [4 per cell]  4 S 2.32
Hg  0.0000  0.0000  0.0000 [2 per cell]  4 S 2.61
Sb  0.0000  0.0000  0.5000 [2 per cell]  4 S 2.58
S  0.2480  0.2480  0.6462 [8 per cell]  2 Cu 2.32, 1 Sb 2.58

DFT total energy in eV/cell: -60.77
DOS at the Fermi energy in states/eV per cell: 7.1
ρ in g/cm³: 5.31


Material: Cu2HgSbS
Method: DFT, PBE
State: relaxed

Cell: 4.8395 4.8395 5.6786 Å, 90.00 90.00 90.00°
Closest atoms and distances in Å follow each position.
Space group P4/mmm (No. 123)
Unique sites:
Cu  0.0000  0.5000  0.0000 [2 per cell]  2 Sb 2.42
Hg  0.0000  0.0000  0.5000 [1 per cell]  2 Sb 2.84
Sb  0.0000  0.0000  0.0000 [1 per cell]  4 Cu 2.42
S  0.5000  0.5000  0.5000 [1 per cell]  4 Hg 3.42, 8 Cu 3.73

DFT total energy in eV/cell: -13.17
DOS at the Fermi energy in states/eV per cell: 3.4
ρ in g/cm³: 6.01


Material: CuHgSb2S4
Method: DFT, PBE
State: relaxed

Cell: 8.0885 10.8529 5.7083 Å, 90.00 134.90 90.00°
Closest atoms and distances in Å follow each position.
Space group Cm (No. 8)
Unique sites:
Cu  0.0000  0.0000  0.0000 [2 per cell]  4 S 2.30-2.43
Hg  0.4641  0.0000  0.9283 [2 per cell]  4 S 2.78-2.99
Sb  0.4470  0.2504  0.3938 [4 per cell]  4 S 2.63-2.73
S  0.3967  0.2890  0.7957 [4 per cell]  1 Cu 2.43, 2 Sb 2.63
S  0.3978  0.0000  0.3447 [2 per cell]  1 Cu 2.30
S  0.4458  0.5000  0.3458 [2 per cell]  1 Cu 2.30

DFT total energy in eV/cell: -59.45
DOS at the Fermi energy in states/eV per cell: 4.0
ρ in g/cm³: 5.95


Material: CuHg2SbS4
Method: DFT, PBE
State: relaxed

Cell: 9.2874 6.5917 6.3842 Å, 90.00 90.00 90.00°
Closest atoms and distances in Å follow each position.
Space group Pmn2_1 (No. 31)
Unique sites:
Cu  0.0000  0.1480  0.0000 [2 per cell]  4 S 2.27-2.32
Hg  0.2488  0.3358  0.5022 [4 per cell]  4 S 2.58-2.73
Sb  0.0000  0.7938  0.4667 [2 per cell]  4 S 2.52-2.75
S  0.0000  0.1627  0.3625 [2 per cell]  1 Cu 2.32, 1 Sb 2.52
S  0.0000  0.8245  0.8634 [2 per cell]  1 Cu 2.30, 1 Sb 2.54
S  0.2131  0.2869  0.8999 [4 per cell]  1 Cu 2.27

DFT total energy in eV/cell: -52.68
DOS at the Fermi energy in states/eV per cell: 2.6
ρ in g/cm³: 6.07


Material: Cu2HgSeS
Method: DFT, PBE
State: relaxed

Cell: 4.3171 4.3171 5.6085 Å, 90.00 90.00 90.00°
Closest atoms and distances in Å follow each position.
Space group P4/mmm (No. 123)
Unique sites:
Cu  0.0000  0.5000  0.0000 [2 per cell]  2 S 2.16
Hg  0.0000  0.0000  0.5000 [1 per cell]  4 Se 3.05
Se  0.5000  0.5000  0.5000 [1 per cell]  2 S 2.80, 4 Hg 3.05
S  0.5000  0.5000  0.0000 [1 per cell]  4 Cu 2.16

DFT total energy in eV/cell: -14.95
DOS at the Fermi energy in states/eV per cell: 1.7
ρ in g/cm³: 6.97


Material: CuSnHg2S4
Method: DFT, PBE
State: relaxed

Cell: 8.4755 7.0949 6.6657 Å, 90.00 90.00 90.00°
Closest atoms and distances in Å follow each position.
Space group Pmn2_1 (No. 31)
Unique sites:
Cu  0.0000  0.1614  0.0000 [2 per cell]  4 S 2.28-2.34
Sn  0.0000  0.8170  0.4894 [2 per cell]  4 S 2.59-2.67
Hg  0.2490  0.3301  0.4978 [4 per cell]  4 S 2.61-2.63
S  0.0000  0.1581  0.3516 [2 per cell]  1 Cu 2.34, 1 Sn 2.59
S  0.0000  0.8566  0.8794 [2 per cell]  1 Cu 2.31
S  0.2174  0.3194  0.8894 [4 per cell]  1 Cu 2.28

DFT total energy in eV/cell: -53.43
DOS at the Fermi energy in states/eV per cell: 5.7
ρ in g/cm³: 5.90


Material: CuSnHgS4
Method: DFT, PBE
State: relaxed

Cell: 7.1312 7.4523 11.6184 Å, 90.00 90.00 90.00°
Closest atoms and distances in Å follow each position.
Space group Imma (No. 74)
Unique sites:
Cu  0.2500  0.2500  0.2500 [4 per cell]  4 S 2.34
Sn  0.0000  0.0000  0.0000 [4 per cell]  6 S 2.57-2.68
Hg  0.0000  0.2500  0.6675 [4 per cell]  4 S 2.53-2.65
S  0.0000  0.0488  0.2284 [8 per cell]  2 Cu 2.34, 1 Hg 2.53
S  0.2483  0.2500  0.0001 [8 per cell]  2 Sn 2.57, 1 Hg 2.65

DFT total energy in eV/cell: -105.19
DOS at the Fermi energy in states/eV per cell: 8.1
ρ in g/cm³: 5.50


| no. | formation energy without anion corrections (eV/atom) |
| --- | --- |
| 1 | 0.011 |
| 2 | -0.089 |
| 3 | -0.072 |
| 4 | -0.077 |
| 5 | -0.088 |
| 6 | -0.054 |
| 7 | -0.125 |
| 8 | -0.134 |
| 9 | 0.136 |
| 10 | 0.074 |
| 11 | 0.135 |
| 12 | -0.111 |
| 13 | -0.035 |
| 14 | 0.301 |
| 15 | 0.583 |
| 16 | -0.157 |
| 17 | 0.714 |
| 18 | -0.071 |
| 19 | -0.126 |
| 20 | 0.232 |
| 21 | -0.188 |
| 22 | -0.198 |